[1]
Crystalline Rb2CaPbBr6 at its relaxed geometry, computed with PBE.

The value obtained for the energy is -67.5 eV per cell. The value obtained for the uncorrected formation energy is -1.606 eV/atom.

The space group is P2_1/c (No. 14) and the conventional cell measures 7.968, 8.320 and 13.949 Å, with angles of 90.00, 124.82 and 90.00 degrees. The distinct sites, in fractional coordinates, are Rb at (0.228, 0.069, 0.250), Ca at (0.500, 0.000, 0.000), Pb at (0.000, 0.000, 0.500), Br at (0.155, 0.197, 0.950), Br at (0.257, 0.708, 0.949) and Br at (0.355, 0.026, 0.756).


[2]
Crystalline Rb3Ca2PbBr9 at its relaxed geometry, computed with PBE.

The value obtained for the energy is -50.9 eV per cell. The value obtained for the uncorrected formation energy is -1.684 eV/atom.

The space group is P-3m1 (No. 164) and the conventional cell measures 8.2117, 8.2117 and 10.0894 Å, with angles of 90.00, 90.00 and 120.00 degrees. The distinct sites, in fractional coordinates, are Rb at (0.0000, 0.0000, 0.0000), Rb at (0.3333, 0.6667, 0.6682), Ca at (0.3333, 0.6667, 0.1595), Pb at (0.0000, 0.0000, 0.5000), Br at (0.0000, 0.5000, 0.0000) and Br at (0.1702, 0.3405, 0.3276).


[3]
Crystalline RbCa2PbBr8 at its relaxed geometry, computed with PBE.

The value obtained for the energy is -39.5 eV per cell. The value obtained for the uncorrected formation energy is -1.451 eV/atom.

The space group is P2/m (No. 10) and the conventional cell measures 6.855, 9.206 and 7.061 Å, with angles of 90.00, 90.92 and 90.00 degrees. The distinct sites, in fractional coordinates, are Rb at (0.000, 0.000, 0.000), Ca at (0.500, 0.252, 0.500), Pb at (0.000, 0.500, 0.000), Br at (0.255, 0.500, 0.649), Br at (0.264, 0.280, 0.154) and Br at (0.272, 0.000, 0.616).


[4]
Crystalline Rb2CaPbBr6 at its relaxed geometry, computed with PBE.

The value obtained for the energy is -133.4 eV per cell. The value obtained for the uncorrected formation energy is -1.567 eV/atom.

The space group is Fm-3m (No. 225) and the conventional cell measures 11.714, 11.714 and 11.714 Å, with angles of 90.00, 90.00 and 90.00 degrees. The distinct sites, in fractional coordinates, are Rb at (0.250, 0.250, 0.250), Ca at (0.000, 0.000, 0.000), Pb at (0.000, 0.000, 0.500) and Br at (0.000, 0.000, 0.245).


[5]
Crystalline CaRh2PbBr at its relaxed geometry, computed with PBE.

The value obtained for the energy is -20.2 eV per cell. The value obtained for the uncorrected formation energy is 0.378 eV/atom.

The space group is P4/mmm (No. 123) and the conventional cell measures 5.020, 5.020 and 5.895 Å, with angles of 90.00, 90.00 and 90.00 degrees. The distinct sites, in fractional coordinates, are Ca at (0.000, 0.000, 0.000), Rh at (0.000, 0.500, 0.500), Pb at (0.500, 0.500, 0.500) and Br at (0.500, 0.500, 0.000).


[6]
Crystalline CaPbSe2Br at its relaxed geometry, computed with PBE.

The value obtained for the energy is -17.1 eV per cell. The value obtained for the uncorrected formation energy is -0.547 eV/atom.

The space group is P4/mmm (No. 123) and the conventional cell measures 5.508, 5.508 and 5.597 Å, with angles of 90.00, 90.00 and 90.00 degrees. The distinct sites, in fractional coordinates, are Ca at (0.000, 0.000, 0.000), Pb at (0.500, 0.500, 0.500), Se at (0.000, 0.500, 0.500) and Br at (0.500, 0.500, 0.000).


[7]
Crystalline CaPbSe2Br at its relaxed geometry, computed with PBE.

The value obtained for the energy is -17.4 eV per cell. The value obtained for the uncorrected formation energy is -0.608 eV/atom.

The space group is P4/mmm (No. 123) and the conventional cell measures 5.471, 5.471 and 5.457 Å, with angles of 90.00, 90.00 and 90.00 degrees. The distinct sites, in fractional coordinates, are Ca at (0.000, 0.000, 0.000), Pb at (0.500, 0.500, 0.500), Se at (0.000, 0.500, 0.000) and Br at (0.000, 0.000, 0.500).


[8]
Crystalline Ca2SnPbBr8 at its relaxed geometry, computed with PBE.

The value obtained for the energy is -42.1 eV per cell. The value obtained for the uncorrected formation energy is -1.419 eV/atom.

The space group is P2/m (No. 10) and the conventional cell measures 6.766, 8.904 and 7.118 Å, with angles of 90.00, 90.30 and 90.00 degrees. The distinct sites, in fractional coordinates, are Ca at (0.000, 0.249, 0.000), Sn at (0.500, 0.000, 0.500), Pb at (0.500, 0.500, 0.500), Br at (0.230, 0.500, 0.152), Br at (0.232, 0.000, 0.156) and Br at (0.253, 0.246, 0.665).


[9]
Crystalline SrCaPbBr6 at its relaxed geometry, computed with PBE.

The value obtained for the energy is -65.0 eV per cell. The value obtained for the uncorrected formation energy is -1.677 eV/atom.

The space group is P4_2nm (No. 102) and the conventional cell measures 7.057, 7.057 and 13.735 Å, with angles of 90.00, 90.00 and 90.00 degrees. The distinct sites, in fractional coordinates, are Sr at (0.000, 0.000, 0.000), Ca at (0.000, 0.000, 0.666), Pb at (0.000, 0.000, 0.332), Br at (0.192, 0.192, 0.505), Br at (0.193, 0.193, 0.826) and Br at (0.204, 0.204, 0.166).


[10]
Crystalline Ca2YPbBr at its relaxed geometry, computed with PBE.

The value obtained for the energy is -17.8 eV per cell. The value obtained for the uncorrected formation energy is -0.395 eV/atom.

The space group is P4/mmm (No. 123) and the conventional cell measures 5.424, 5.424 and 5.439 Å, with angles of 90.00, 90.00 and 90.00 degrees. The distinct sites, in fractional coordinates, are Ca at (0.000, 0.500, 0.000), Y at (0.000, 0.000, 0.500), Pb at (0.500, 0.500, 0.500) and Br at (0.000, 0.000, 0.000).


[11]
Crystalline Ca3Pd5Br12 at its relaxed geometry, computed with PBE.

The value obtained for the energy is -547.7 eV per cell. The value obtained for the uncorrected formation energy is -0.821 eV/atom.

The space group is Ia-3d (No. 230) and the conventional cell measures 16.504, 16.504 and 16.504 Å, with angles of 90.00, 90.00 and 90.00 degrees. The distinct sites, in fractional coordinates, are Ca at (0.000, 0.250, 0.125), Pd at (0.000, 0.000, 0.000), Pd at (0.000, 0.250, 0.375) and Br at (0.022, 0.057, 0.650).


[12]
Crystalline CaPdBr5 at its relaxed geometry, computed with PBE.

The value obtained for the energy is -89.7 eV per cell. The value obtained for the uncorrected formation energy is -0.981 eV/atom.

The space group is C2/c (No. 15) and the conventional cell measures 9.598, 10.106 and 9.767 Å, with angles of 90.00, 110.80 and 90.00 degrees. The distinct sites, in fractional coordinates, are Ca at (0.000, 0.055, 0.250), Pd at (0.250, 0.250, 0.000), Br at (0.000, 0.233, 0.750), Br at (0.078, 0.302, 0.132) and Br at (0.216, 0.009, 0.045).


[13]
Crystalline CaPdBr6 at its relaxed geometry, computed with PBE.

The value obtained for the energy is -70.5 eV per cell. The value obtained for the uncorrected formation energy is -0.785 eV/atom.

The space group is R-3 (No. 148, hexagonal axes) and the conventional cell measures 6.6917, 6.6917 and 18.5101 Å, with angles of 90.00, 90.00 and 120.00 degrees. The distinct sites, in fractional coordinates, are Ca at (0.0000, 0.0000, 0.0000), Pd at (0.0000, 0.0000, 0.5000) and Br at (0.0103, 0.3752, 0.0885).


[14]
Crystalline Ca2Pd2Br at its relaxed geometry, computed with PBE.

The value obtained for the energy is -39.7 eV per cell. The value obtained for the uncorrected formation energy is -0.753 eV/atom.

The space group is P4/mbm (No. 127) and the conventional cell measures 7.960, 7.960 and 3.714 Å, with angles of 90.00, 90.00 and 90.00 degrees. The distinct sites, in fractional coordinates, are Ca at (0.176, 0.324, 0.000), Pd at (0.119, 0.619, 0.500) and Br at (0.000, 0.000, 0.500).


[15]
Crystalline Ca2PdBr2 at its relaxed geometry, computed with PBE.

The value obtained for the energy is -35.3 eV per cell. The value obtained for the uncorrected formation energy is -1.025 eV/atom.

The space group is P4/mbm (No. 127) and the conventional cell measures 7.993, 7.993 and 4.270 Å, with angles of 90.00, 90.00 and 90.00 degrees. The distinct sites, in fractional coordinates, are Ca at (0.181, 0.319, 0.000), Pd at (0.000, 0.000, 0.000) and Br at (0.142, 0.642, 0.500).


[16]
Crystalline Ca2PdBr2 at its relaxed geometry, computed with PBE.

The value obtained for the energy is -34.2 eV per cell. The value obtained for the uncorrected formation energy is -0.916 eV/atom.

The space group is I4/mmm (No. 139) and the conventional cell measures 4.613, 4.613 and 14.319 Å, with angles of 90.00, 90.00 and 90.00 degrees. The distinct sites, in fractional coordinates, are Ca at (0.000, 0.000, 0.125), Pd at (0.000, 0.000, 0.500) and Br at (0.000, 0.500, 0.250).


[17]
Crystalline CaPd3Br at its relaxed geometry, computed with PBE.

The value obtained for the energy is -19.2 eV per cell. The value obtained for the uncorrected formation energy is 0.013 eV/atom.

The space group is Pm-3m (No. 221) and the conventional cell measures 4.858, 4.858 and 4.858 Å, with angles of 90.00, 90.00 and 90.00 degrees. The distinct sites, in fractional coordinates, are Ca at (0.000, 0.000, 0.000), Pd at (0.000, 0.500, 0.500) and Br at (0.500, 0.500, 0.500).


[18]
Crystalline CaPd3Br at its relaxed geometry, computed with PBE.

The value obtained for the energy is -15.9 eV per cell. The value obtained for the uncorrected formation energy is 0.663 eV/atom.

The space group is Pm-3m (No. 221) and the conventional cell measures 5.037, 5.037 and 5.037 Å, with angles of 90.00, 90.00 and 90.00 degrees. The distinct sites, in fractional coordinates, are Ca at (0.000, 0.000, 0.000), Pd at (0.000, 0.000, 0.500) and Br at (0.500, 0.500, 0.500).


[19]
Crystalline Ca2PdPtBr at its relaxed geometry, computed with PBE.

The value obtained for the energy is -18.0 eV per cell. The value obtained for the uncorrected formation energy is -0.224 eV/atom.

The space group is P4/mmm (No. 123) and the conventional cell measures 5.550, 5.550 and 4.925 Å, with angles of 90.00, 90.00 and 90.00 degrees. The distinct sites, in fractional coordinates, are Ca at (0.000, 0.500, 0.000), Pd at (0.000, 0.000, 0.500), Pt at (0.500, 0.500, 0.000) and Br at (0.500, 0.500, 0.500).


[20]
Crystalline CaPdRhBr2 at its relaxed geometry, computed with PBE.

The value obtained for the energy is -19.3 eV per cell. The value obtained for the uncorrected formation energy is -0.275 eV/atom.

The space group is P4/mmm (No. 123) and the conventional cell measures 4.997, 4.997 and 5.052 Å, with angles of 90.00, 90.00 and 90.00 degrees. The distinct sites, in fractional coordinates, are Ca at (0.000, 0.000, 0.000), Pd at (0.500, 0.500, 0.000), Rh at (0.500, 0.500, 0.500) and Br at (0.000, 0.500, 0.500).